Here is CeSeBr after structural relaxation from Alexandria. Energies are from PBE.

## Properties
The value obtained for the formation energy (no corrections) is -1.726 eV/atom. The density of states at the Fermi level is 6.6 states/eV/f.u.

Geometry as CIF:
```
data_CeSeBr
_cell_length_a 4.3970
_cell_length_b 4.3970
_cell_length_c 6.7053
_cell_angle_alpha 90.00
_cell_angle_beta 90.00
_cell_angle_gamma 120.00
_symmetry_space_group_name_H-M 'P 3 m 1'
_symmetry_Int_Tables_number 156
loop_
_symmetry_equiv_pos_as_xyz
'x,y,z'
'-y,x-y,z'
'-x+y,-x,z'
'-y,-x,z'
'-x+y,y,z'
'x,x-y,z'
loop_
_atom_site_label
_atom_site_fract_x
_atom_site_fract_y
_atom_site_fract_z
Ce1 0.0000 0.0000 0.0000
Se1 0.6667 0.3333 0.2023
Br1 0.3333 0.6667 0.7383
```